Entry 1:
Computed, not measured: a relaxed Li4AcAg crystal at the PBE level of DFT.

Unit cell a=5.666 b=5.666 c=5.666 alpha=60.00 beta=60.00 gamma=60.00
Positions (direct):
Li  0.379  0.379  0.379
Li  0.379  0.379  0.864
Li  0.379  0.864  0.379
Li  0.864  0.379  0.379
Ac  0.000  0.000  0.000
Ag  0.750  0.750  0.750

## Properties
DFT formation energy	-0.0066	eV per atom
magnetization	0.00	μB per cell



Entry 2:
Computed, not measured: a relaxed SrCd4Au4 crystal at the PBE level of DFT.

Unit cell a=7.068 b=7.068 c=8.841 alpha=90.00 beta=90.00 gamma=90.00
Positions (direct):
Sr  0.250  0.750  0.250
Sr  0.750  0.250  0.750
Cd  0.007  0.750  0.636
Cd  0.250  0.507  0.864
Cd  0.250  0.993  0.864
Cd  0.493  0.750  0.636
Cd  0.507  0.250  0.364
Cd  0.750  0.007  0.136
Cd  0.750  0.493  0.136
Cd  0.993  0.250  0.364
Au  0.049  0.250  0.047
Au  0.250  0.049  0.547
Au  0.250  0.451  0.547
Au  0.451  0.250  0.047
Au  0.549  0.750  0.953
Au  0.750  0.549  0.453
Au  0.750  0.951  0.453
Au  0.951  0.750  0.953

## Properties
DFT formation energy	-0.3044	eV per atom
magnetization	0.00	μB per cell



Entry 3:
Computed, not measured: a relaxed LiCd2Au5 crystal at the PBE level of DFT.

Unit cell a=5.794 b=5.794 c=5.794 alpha=105.38 beta=105.38 gamma=118.01
Positions (direct):
Li  0.000  0.000  0.000
Cd  0.000  0.500  0.500
Cd  0.500  0.000  0.500
Au  0.001  0.001  0.501
Au  0.001  0.500  0.000
Au  0.500  0.001  0.000
Au  0.500  0.500  0.499
Au  0.501  0.501  0.000

## Properties
DFT formation energy	-0.2373	eV per atom
relative energy among the computed polymorphs	0.074	eV per formula unit
magnetization	0.00	μB per cell



Entry 4:
Computed, not measured: a relaxed Zr2Ga6Ru crystal at the PBE level of DFT.

Unit cell a=7.770 b=7.770 c=4.105 alpha=105.11 beta=105.11 gamma=48.24
Positions (direct):
Zr  0.223  0.223  0.220
Zr  0.777  0.777  0.780
Ga  0.087  0.662  0.377
Ga  0.244  0.756  0.000
Ga  0.338  0.913  0.623
Ga  0.662  0.087  0.377
Ga  0.756  0.244  0.000
Ga  0.913  0.338  0.623
Ru  0.500  0.500  0.500

## Properties
DFT formation energy	-0.1290	eV per atom
magnetization	0.00	μB per cell